DFT (PBE) results for crystalline Rb2S2O7 at its relaxed geometry.

Cell: 7.817 7.817 7.750 Å, 93.83 93.83 59.79°
Positions (direct):
O (0.047, 0.675, 0.701)
O (0.845, 0.261, 0.012)
Rb (0.034, 0.678, 0.324)
O (0.709, 0.603, 0.129)
O (0.261, 0.845, 0.512)
S (0.395, 0.794, 0.665)
Rb (0.322, 0.966, 0.176)
O (0.291, 0.397, 0.871)
O (0.397, 0.291, 0.371)
O (0.603, 0.709, 0.629)
O (0.399, 0.601, 0.750)
O (0.155, 0.739, 0.988)
O (0.739, 0.155, 0.488)
O (0.953, 0.325, 0.299)
O (0.675, 0.047, 0.201)
Rb (0.966, 0.322, 0.676)
S (0.605, 0.206, 0.335)
S (0.794, 0.395, 0.165)
O (0.325, 0.953, 0.799)
O (0.601, 0.399, 0.250)
S (0.206, 0.605, 0.835)
Rb (0.678, 0.034, 0.824)

Raw total energy = -5.76 eV per atom
E above lowest polymorph = 0.000 kcal/mol of atoms
ΔE_f (raw) = -1.675 eV per atom
Theoretical density = 2.82 g/cm³